Here is a relaxed CaTa2Re crystal from Alexandria via LeMat-Bulk. Energies are from PBE-GGA. Values from VASP.

Geometry as Quantum ESPRESSO input:
```
&SYSTEM
  ibrav = 0, nat = 4, ntyp = 3
/
ATOMIC_SPECIES
Re 186.21 Re.upf
Ca 40.08 Ca.upf
Ta 180.95 Ta.upf
ATOMIC_POSITIONS crystal
Re 0.500 0.500 0.802
Ca 0.000 0.000 0.528
Ta 0.000 0.000 0.976
Ta 0.500 0.500 0.194
CELL_PARAMETERS angstrom
-3.069 0.855 0.621
-0.663 -3.043 0.912
1.985 1.776 7.371
```

Energy of formation   0.369 eV per atom
Excess energy over the best structure of this formula in the dataset   0.012 eV per atom
Uncorrected energy   -9.17 eV/atom